# 1
Below is a relaxed structure of Sc3Tl3GaTe8, with properties calculated at the GGA-PBE level.

Unit cell a=8.3873 b=8.3898 c=9.4814 alpha=116.24 beta=90.01 gamma=120.03
Last column: nearest neighbours and their distance in Å.
Positions (direct):
Te1 0.7690 0.5374 0.3009  1 Ga 2.89, 2 Sc 2.92-2.93
Te2 0.7352 0.4708 0.7059  3 Sc 2.94-2.95
Te3 0.2648 0.5292 0.2941  3 Sc 2.94-2.95
Te4 0.2310 0.4626 0.6991  1 Ga 2.89, 2 Sc 2.92-2.93
Te5 0.2320 0.9681 0.6998  1 Ga 2.90, 2 Sc 2.93
Te6 0.7362 0.9683 0.6995  1 Ga 2.90, 2 Sc 2.92-2.93
Te7 0.7680 0.0319 0.3002  1 Ga 2.90, 2 Sc 2.93
Te8 0.2638 0.0317 0.3005  1 Ga 2.90, 2 Sc 2.92-2.93
Tl1 0.5000 0.5000 0.0000  6 Te 3.41-3.44
Tl2 0.0000 0.5000 0.0000  6 Te 3.41-3.44
Tl3 0.0000 0.0000 0.0000  6 Te 3.41-3.44
Sc1 0.5000 0.0000 0.5000  6 Te 2.92-2.95
Sc2 0.5000 0.5000 0.5000  6 Te 2.93-2.94
Sc3 0.0000 0.5000 0.5000  6 Te 2.92-2.95
Ga1 0.0000 0.0000 0.5000  6 Te 2.89-2.90

* DOS at the Fermi energy: 5.829 states/eV per cell
* calculated total energy: -65.2 eV for the cell shown
* SG: C2/m, No. 12
* ΔE_f (raw): -0.730 eV/atom

# 2
Below is a relaxed structure of Y3MgN, with properties calculated at the GGA-PBE level.

Unit cell a=24.3465 b=8.9872 c=8.9872 alpha=158.32 beta=156.98 gamma=23.02
Last column: nearest neighbours and their distance in Å.
Positions (direct):
Y1 0.4873 0.6653 0.3347  2 N 2.37
Y2 0.2162 0.8355 0.1645  2 N 2.36
Y3 0.5127 0.3347 0.6653  2 N 2.37
Y4 0.8278 0.7817 0.2183  1 N 2.35
Y5 0.7838 0.1645 0.8355  2 N 2.36
Y6 0.1722 0.2183 0.7817  1 N 2.35
N1 0.6549 0.9009 0.0991  5 Y 2.35-2.37
N2 0.3451 0.0991 0.9009  5 Y 2.35-2.37
Mg1 0.8623 0.3980 0.6020  4 Mg 3.08-3.38, 6 Y 3.32-3.43
Mg2 0.1377 0.6020 0.3980  4 Mg 3.08-3.38, 6 Y 3.32-3.43

* DOS at the Fermi energy: 11.251 states/eV per cell
* offset from the most stable computed form: 212 meV/atom
* calculated total energy: -63.7 eV for the cell shown
* SG: C2/m, No. 12
* ΔE_f (raw): -0.510 eV/atom

# 3
Below is a relaxed structure of Ba3Cu2Pd2, with properties calculated at the GGA-PBE level.

Unit cell a=4.4964 b=6.3439 c=8.4194 alpha=112.43 beta=90.00 gamma=110.76
Last column: nearest neighbours and their distance in Å.
Positions (direct):
Ba1 0.6763 0.3526 0.6378  3 Cu 3.25-3.32, 5 Pd 3.30-3.54
Ba2 0.3237 0.6474 0.3622  3 Cu 3.25-3.32, 5 Pd 3.30-3.54
Ba3 0.5000 0.0000 0.0000  6 Cu 3.40-3.45, 4 Pd 3.52
Cu1 0.8011 0.6022 0.0607  2 Cu 2.56, 1 Pd 2.64
Cu2 0.1989 0.3978 0.9393  2 Cu 2.56, 1 Pd 2.64
Pd1 0.0167 0.0334 0.3301  1 Cu 2.64
Pd2 0.9833 0.9666 0.6699  1 Cu 2.64

* DOS at the Fermi energy: 2.839 states/eV per cell
* calculated total energy: -26.5 eV for the cell shown
* SG: C2/m, No. 12
* ΔE_f: -0.30 eV/atom